No. 1
First-principles (PBE-GGA) data for Al2Re3B after structural relaxation, as listed in Alexandria via LeMat-Bulk.

Unit cell a=7.6048 b=7.6048 c=7.6048 alpha=60.00 beta=60.00 gamma=60.00
Last column: nearest neighbours and their distance in Å.
Fractional positions:
Al  0.7573  0.4142  0.4142  3 B 2.34, 3 Re 2.52, 3 Al 2.61
Al  0.8358  0.8358  0.8358  3 B 2.34, 3 Re 2.52, 3 Al 2.61
Al  0.4142  0.7573  0.4142  3 B 2.34, 3 Re 2.52, 3 Al 2.61
Al  0.8358  0.8358  0.4927  3 B 2.34, 3 Re 2.52, 3 Al 2.61
Al  0.8358  0.4927  0.8358  3 B 2.34, 3 Re 2.52, 3 Al 2.61
Al  0.4927  0.8358  0.8358  3 B 2.34, 3 Re 2.52, 3 Al 2.61
Al  0.4142  0.4142  0.4142  3 B 2.34, 3 Re 2.52, 3 Al 2.61
Al  0.4142  0.4142  0.7573  3 B 2.34, 3 Re 2.52, 3 Al 2.61
Re  0.8084  0.1916  0.1916  4 Al 2.52-2.73, 2 B 2.74
Re  0.8084  0.8084  0.1916  4 Al 2.52-2.73, 2 B 2.74
Re  0.0584  0.0584  0.4416  4 Al 2.52-2.73, 2 B 2.74
Re  0.4416  0.0584  0.4416  4 Al 2.52-2.73, 2 B 2.74
Re  0.0584  0.4416  0.0584  4 Al 2.52-2.73, 2 B 2.74
Re  0.4416  0.4416  0.0584  4 Al 2.52-2.73, 2 B 2.74
Re  0.1916  0.8084  0.8084  4 Al 2.52-2.73, 2 B 2.74
Re  0.4416  0.0584  0.0584  4 Al 2.52-2.73, 2 B 2.74
Re  0.1916  0.8084  0.1916  4 Al 2.52-2.73, 2 B 2.74
Re  0.8084  0.1916  0.8084  4 Al 2.52-2.73, 2 B 2.74
Re  0.0584  0.4416  0.4416  4 Al 2.52-2.73, 2 B 2.74
Re  0.1916  0.1916  0.8084  4 Al 2.52-2.73, 2 B 2.74
B  0.6250  0.6250  0.6250  6 Al 2.34
B  0.1250  0.6250  0.6250  6 Al 2.34
B  0.6250  0.1250  0.6250  6 Al 2.34
B  0.6250  0.6250  0.1250  6 Al 2.34

Computed properties:
- electronic total energy (hartree per atom) = -0.30636



No. 2
First-principles (PBE-GGA) data for SrTaPb3 after structural relaxation, as listed in Alexandria via LeMat-Bulk.

Unit cell a=5.5500 b=5.5500 c=5.5500 alpha=90.00 beta=90.00 gamma=90.00
Last column: nearest neighbours and their distance in Å.
Fractional positions:
Pb  0.0000  0.5000  0.0000  2 Ta 2.77
Pb  0.0000  0.0000  0.5000  2 Ta 2.77
Pb  0.5000  0.0000  0.0000  2 Ta 2.77
Sr  0.5000  0.5000  0.5000  12 Pb 3.92
Ta  0.0000  0.0000  0.0000  6 Pb 2.77

Computed properties:
- offset from the most stable computed form (meV/atom) = 0.0



No. 3
First-principles (PBE-GGA) data for LaScGa3 after structural relaxation, as listed in Alexandria via LeMat-Bulk.

Unit cell a=5.0683 b=5.0683 c=5.0683 alpha=90.00 beta=90.00 gamma=90.00
Last column: nearest neighbours and their distance in Å.
Fractional positions:
Sc  0.0000  0.0000  0.0000  6 Ga 2.53
Ga  0.0000  0.5000  0.0000  2 Sc 2.53
Ga  0.0000  0.0000  0.5000  2 Sc 2.53
Ga  0.5000  0.0000  0.0000  2 Sc 2.53
La  0.5000  0.5000  0.5000  12 Ga 3.58

Computed properties:
- offset from the most stable computed form (meV/atom) = 522.7



No. 4
First-principles (PBE-GGA) data for HgRhF3 after structural relaxation, as listed in Alexandria via LeMat-Bulk.

Unit cell a=4.5408 b=4.5408 c=4.5408 alpha=90.00 beta=90.00 gamma=90.00
Last column: nearest neighbours and their distance in Å.
Fractional positions:
Rh  0.5000  0.5000  0.5000  12 F 3.21
Hg  0.0000  0.0000  0.0000  6 F 2.27
F  0.0000  0.5000  0.0000  2 Hg 2.27
F  0.0000  0.0000  0.5000  2 Hg 2.27
F  0.5000  0.0000  0.0000  2 Hg 2.27

Computed properties:
- formation energy from raw total energies (kcal/mol of atoms) = -9.87
- offset from the most stable computed form (meV/atom) = 706.3



No. 5
First-principles (PBE-GGA) data for AgIrIN2 after structural relaxation, as listed in Alexandria via LeMat-Bulk.

Unit cell a=3.9257 b=3.9257 c=7.4674 alpha=90.00 beta=90.00 gamma=90.00
Last column: nearest neighbours and their distance in Å.
Fractional positions:
I  0.0000  0.0000  0.5000  4 Ir 2.78
Ir  0.5000  0.5000  0.5000  4 I 2.78
Ag  0.0000  0.0000  0.0000  4 N 1.96
N  0.0000  0.5000  0.0000  2 Ag 1.96
N  0.5000  0.0000  0.0000  2 Ag 1.96

Computed properties:
- formation energy from raw total energies (kcal/mol of atoms) = 55.41
- offset from the most stable computed form (meV/atom) = 1592.6



Number 1: total moment 0.00 μB/cell, calculated density 13.31 g/cm3. Number 2: total moment 0.00 μB/cell, calculated density 8.65 g/cm3. Number 3: total moment 0.00 μB/cell, calculated density 5.01 g/cm3. Number 4: total moment 2.05 μB/cell, calculated density 6.39 g/cm3. Number 5: total moment 1.69 μB/cell, calculated density 6.57 g/cm3.